{
  "formula": "KLiO",
  "functional": "PBE",
  "state": "optimized geometry",
  "raw_formation_energy_ev_per_atom": -1.395,
  "final_energy_ev_per_cell": -24.3,
  "lattice_angstrom": [[3.574, 0.000, 0.000], [0.000, 3.574, 0.000], [0.000, 0.000, 6.620]],
  "species": ["K", "K", "Li", "Li", "O", "O"],
  "frac_coords": [[0.250, 0.250, 0.177], [0.750, 0.750, 0.823], [0.250, 0.750, 0.500], [0.750, 0.250, 0.500], [0.250, 0.250, 0.658], [0.750, 0.750, 0.342]]
}



{
  "formula": "LiCdRu2",
  "functional": "PBE",
  "state": "optimized geometry",
  "ef_ev_per_atom": 0.5011,
  "final_energy_ev_per_cell": -38.8,
  "lattice_angstrom": [[-1.847, 1.847, 9.627], [1.847, -1.847, 9.627], [1.847, 1.847, -9.627]],
  "species": ["Li", "Li", "Cd", "Cd", "Ru", "Ru", "Ru", "Ru"],
  "frac_coords": [[0.000, 0.000, 0.000], [0.750, 0.250, 0.500], [0.250, 0.750, 0.500], [0.500, 0.500, 0.000], [0.081, 0.625, 0.956], [0.375, 0.331, 0.456], [0.669, 0.125, 0.044], [0.875, 0.919, 0.544]]
}